No. 1
The following is a DFT calculation (PBE) of a relaxed structure of Ba6Sb2Ir.

Lattice parameters (Å, degrees): 8.0179 9.1023 13.8087 90.00 124.79 90.00
With the nearest neighbours (Å) after each atom.
Positions (direct):
Ba1 0.1294 0.0382 0.2529  1 Ir 3.04
Ba2 0.1294 0.4618 0.7529  1 Ir 3.04
Ba3 0.2266 0.7004 0.0594  1 Ir 3.12
Ba4 0.2266 0.7996 0.5594  1 Ir 3.12
Ba5 0.3713 0.1698 0.0571  1 Ir 3.03
Ba6 0.3713 0.3302 0.5571  1 Ir 3.03
Ba7 0.6287 0.6698 0.4429  1 Ir 3.03
Ba8 0.6287 0.8302 0.9429  1 Ir 3.03
Ba9 0.7734 0.2004 0.4406  1 Ir 3.12
Ba10 0.7734 0.2996 0.9406  1 Ir 3.12
Ba11 0.8706 0.5382 0.2471  1 Ir 3.04
Ba12 0.8706 0.9618 0.7471  1 Ir 3.04
Sb1 0.2843 0.1008 0.7462  6 Ba 3.53-3.72
Sb2 0.2843 0.3992 0.2462  6 Ba 3.53-3.72
Sb3 0.7157 0.6008 0.7538  6 Ba 3.53-3.72
Sb4 0.7157 0.8992 0.2538  6 Ba 3.53-3.72
Ir1 0.0000 0.0000 0.0000  6 Ba 3.03-3.12
Ir2 0.0000 0.5000 0.5000  6 Ba 3.03-3.12

Calculated values
Its uncorrected formation energy is -13.95 kcal/mol of atoms. The value obtained for the calculated total energy is -34.09 eV/f.u.

=====

No. 2
The following is a DFT calculation (PBE) of a relaxed structure of VNi4B2.

Lattice parameters (Å, degrees): 6.2882 6.2882 3.3410 90.00 90.00 149.23
With the nearest neighbours (Å) after each atom.
Positions (direct):
V1 0.0000 0.0000 0.0000  8 B 2.51, 8 Ni 2.65-2.66
Ni1 0.1700 0.8300 0.5000  2 B 2.06
Ni2 0.3287 0.6713 0.0000  2 B 2.07
Ni3 0.6713 0.3287 0.0000  2 B 2.07
Ni4 0.8300 0.1700 0.5000  2 B 2.06
B1 0.4295 0.5705 0.5000  1 B 1.71
B2 0.5705 0.4295 0.5000  1 B 1.71

Calculated values
The value obtained for the calculated formation energy is -254 meV per atom. The value obtained for the calculated total energy is -47.38 eV/f.u.

=====

No. 3
The following is a DFT calculation (PBE) of a relaxed structure of SnGeH3.

Lattice parameters (Å, degrees): 4.0245 4.0245 4.0245 90.00 90.00 90.00
With the nearest neighbours (Å) after each atom.
Positions (direct):
Sn1 0.0000 0.0000 0.0000  6 H 2.01
Ge1 0.5000 0.5000 0.5000  12 H 2.85
H1 0.0000 0.0000 0.5000  2 Sn 2.01
H2 0.0000 0.5000 0.0000  2 Sn 2.01
H3 0.5000 0.0000 0.0000  2 Sn 2.01

Calculated values
The value obtained for the calculated total energy is -14.92 eV/f.u.

=====

No. 4
The following is a DFT calculation (PBE) of a relaxed structure of SmDyHo6Tm2.

Lattice parameters (Å, degrees): 8.7176 8.7176 9.4479 93.53 93.53 117.54
With the nearest neighbours (Å) after each atom.
Positions (direct):
Sm1 0.0265 0.9735 0.7500  4 Tm 3.36-3.41, 4 Ho 3.54-3.65
Sm2 0.9735 0.0265 0.2500  4 Tm 3.36-3.41, 4 Ho 3.54-3.65
Dy1 0.4096 0.5904 0.2500  6 Ho 3.38-3.50, 2 Tm 3.51
Dy2 0.5904 0.4096 0.7500  6 Ho 3.38-3.50, 2 Tm 3.51
Ho1 0.0179 0.5656 0.6825  3 Ho 3.18-3.54, 2 Tm 3.36-3.54, 1 Dy 3.44, 1 Sm 3.54
Ho2 0.1221 0.7526 0.0565  7 Ho 3.37-3.70, 1 Tm 3.46, 1 Sm 3.65
Ho3 0.2474 0.8779 0.4435  7 Ho 3.37-3.70, 1 Tm 3.46, 1 Sm 3.65
Ho4 0.2916 0.5093 0.8818  4 Ho 3.18-3.49, 3 Tm 3.25-3.40, 2 Dy 3.38-3.50
Ho5 0.4344 0.9821 0.8175  3 Ho 3.18-3.54, 2 Tm 3.36-3.54, 1 Dy 3.44, 1 Sm 3.54
Ho6 0.4907 0.7084 0.6182  4 Ho 3.18-3.49, 3 Tm 3.25-3.40, 2 Dy 3.38-3.50
Ho7 0.5093 0.2916 0.3818  4 Ho 3.18-3.49, 3 Tm 3.25-3.40, 2 Dy 3.38-3.50
Ho8 0.5656 0.0179 0.1825  3 Ho 3.18-3.54, 2 Tm 3.36-3.54, 1 Dy 3.44, 1 Sm 3.54
Ho9 0.7084 0.4907 0.1182  4 Ho 3.18-3.49, 3 Tm 3.25-3.40, 2 Dy 3.38-3.50
Ho10 0.7526 0.1221 0.5565  7 Ho 3.37-3.70, 1 Tm 3.46, 1 Sm 3.65
Ho11 0.8779 0.2474 0.9435  7 Ho 3.37-3.70, 1 Tm 3.46, 1 Sm 3.65
Ho12 0.9821 0.4344 0.3175  3 Ho 3.18-3.54, 2 Tm 3.36-3.54, 1 Dy 3.44, 1 Sm 3.54
Tm1 0.1983 0.3037 0.5465  6 Ho 3.25-3.54, 2 Sm 3.36-3.41, 1 Dy 3.51
Tm2 0.3037 0.1983 0.0465  6 Ho 3.25-3.54, 2 Sm 3.36-3.41, 1 Dy 3.51
Tm3 0.6963 0.8017 0.9535  6 Ho 3.25-3.54, 2 Sm 3.36-3.41, 1 Dy 3.51
Tm4 0.8017 0.6963 0.4535  6 Ho 3.25-3.54, 2 Sm 3.36-3.41, 1 Dy 3.51

Calculated values
The value obtained for the calculated formation energy is 123 meV per atom. The value obtained for the calculated total energy is -44.50 eV/f.u.

=====

No. 5
The following is a DFT calculation (PBE) of a relaxed structure of FeOs.

Lattice parameters (Å, degrees): 9.6239 4.0039 4.3759 90.00 90.00 90.00
With the nearest neighbours (Å) after each atom.
Positions (direct):
Fe1 0.0000 0.1130 0.0000  4 Os 2.26-2.49, 2 Fe 2.30
Fe2 0.1207 0.1516 0.5480  2 Fe 2.30-2.32, 4 Os 2.31-2.56
Fe3 0.3793 0.8484 0.0480  2 Fe 2.30-2.32, 4 Os 2.31-2.56
Fe4 0.5000 0.8870 0.5000  4 Os 2.26-2.49, 2 Fe 2.30
Fe5 0.6207 0.8484 0.0480  2 Fe 2.30-2.32, 4 Os 2.31-2.56
Fe6 0.8793 0.1516 0.5480  2 Fe 2.30-2.32, 4 Os 2.31-2.56
Os1 0.0000 0.6458 0.2878  2 Fe 2.26-2.48
Os2 0.2431 0.3238 0.0175  4 Fe 2.31-2.49
Os3 0.2569 0.6762 0.5175  4 Fe 2.31-2.49
Os4 0.5000 0.3542 0.7878  2 Fe 2.26-2.48
Os5 0.7431 0.6762 0.5175  4 Fe 2.31-2.49
Os6 0.7569 0.3238 0.0175  4 Fe 2.31-2.49

Calculated values
The value obtained for the calculated formation energy is 609 meV per atom. The value obtained for the calculated total energy is -18.47 eV/f.u.

=====

No. 6
The following is a DFT calculation (PBE) of a relaxed structure of BaCa2Re.

Lattice parameters (Å, degrees): 6.0829 6.0829 3.3008 90.00 90.00 112.15
With the nearest neighbours (Å) after each atom.
Positions (direct):
Ba1 0.0000 0.0000 0.0000  2 Ba 3.30, 2 Re 3.39, 8 Ca 3.46
Ca1 0.0000 0.5000 0.5000  4 Ca 3.30-3.39, 4 Ba 3.46, 4 Re 3.46
Ca2 0.5000 0.0000 0.5000  4 Ca 3.30-3.39, 4 Ba 3.46, 4 Re 3.46
Re1 0.5000 0.5000 0.0000  2 Re 3.30, 2 Ba 3.39, 8 Ca 3.46

Calculated values
The value obtained for the calculated formation energy is 1044 meV per atom. The value obtained for the calculated total energy is -14.20 eV/f.u.

=====

No. 7
The following is a DFT calculation (PBE) of a relaxed structure of Ba2CdNiP.

Lattice parameters (Å, degrees): 6.2942 6.2942 4.1982 90.00 90.00 90.00
With the nearest neighbours (Å) after each atom.
Positions (direct):
Ba1 0.0000 0.5000 0.0000  2 P 3.15
Ba2 0.5000 0.0000 0.0000  2 P 3.15
Cd1 0.0000 0.0000 0.5000  8 Ba 3.78, 2 Cd 4.20
Ni1 0.5000 0.5000 0.5000  2 P 2.10
P1 0.5000 0.5000 0.0000  2 Ni 2.10

Calculated values
The value obtained for the calculated formation energy is -442 meV per atom. The value obtained for the calculated total energy is -18.16 eV/f.u.

=====

No. 8
The following is a DFT calculation (PBE) of a relaxed structure of CdSiBr3.

Lattice parameters (Å, degrees): 5.2654 5.2654 5.2654 90.00 90.00 90.00
With the nearest neighbours (Å) after each atom.
Positions (direct):
Cd1 0.0000 0.0000 0.0000  12 Br 3.72
Si1 0.5000 0.5000 0.5000  6 Br 2.63
Br1 0.0000 0.5000 0.5000  2 Si 2.63
Br2 0.5000 0.0000 0.5000  2 Si 2.63
Br3 0.5000 0.5000 0.0000  2 Si 2.63

Calculated values
Its uncorrected formation energy is -4.03 kcal/mol of atoms. The value obtained for the calculated total energy is -12.23 eV/f.u.

=====

No. 9
The following is a DFT calculation (PBE) of a relaxed structure of Hg2Sb5Pb12.

Lattice parameters (Å, degrees): 9.7326 9.7326 9.4981 91.65 91.65 46.36
With the nearest neighbours (Å) after each atom.
Positions (direct):
Hg1 0.1861 0.8139 0.0000  1 Hg 2.85, 2 Pb 3.04
Hg2 0.8139 0.1861 0.0000  1 Hg 2.85, 2 Pb 3.04
Sb1 0.1705 0.1705 0.1101  6 Pb 3.18-3.31, 2 Hg 3.50
Sb2 0.2273 0.2273 0.5971  7 Pb 3.17-3.45
Sb3 0.5000 0.5000 0.5000  6 Pb 3.04-3.24
Sb4 0.7727 0.7727 0.4029  7 Pb 3.17-3.45
Sb5 0.8295 0.8295 0.8899  6 Pb 3.18-3.31, 2 Hg 3.50
Pb1 0.0385 0.0385 0.6630  7 Pb 3.35-3.69, 1 Sb 3.45, 2 Hg 3.59
Pb2 0.0702 0.5567 0.1549  3 Sb 3.17-3.21, 1 Pb 3.34
Pb3 0.1134 0.6329 0.6154  4 Sb 3.24-3.31, 1 Pb 3.50
Pb4 0.3671 0.8866 0.3846  4 Sb 3.24-3.31, 1 Pb 3.50
Pb5 0.4433 0.9298 0.8451  3 Sb 3.17-3.21, 1 Pb 3.34
Pb6 0.4678 0.4678 0.1836  2 Hg 3.04, 1 Sb 3.04, 2 Pb 3.34
Pb7 0.5322 0.5322 0.8164  2 Hg 3.04, 1 Sb 3.04, 2 Pb 3.34
Pb8 0.5567 0.0702 0.1549  3 Sb 3.17-3.21, 1 Pb 3.34
Pb9 0.6329 0.1134 0.6154  4 Sb 3.24-3.31, 1 Pb 3.50
Pb10 0.8866 0.3671 0.3846  4 Sb 3.24-3.31, 1 Pb 3.50
Pb11 0.9298 0.4433 0.8451  3 Sb 3.17-3.21, 1 Pb 3.34
Pb12 0.9615 0.9615 0.3370  7 Pb 3.35-3.69, 1 Sb 3.45, 2 Hg 3.59

Calculated values
Its uncorrected formation energy is 1.98 kcal/mol of atoms. The value obtained for the calculated total energy is -64.08 eV/f.u.

=====

No. 10
The following is a DFT calculation (PBE) of a relaxed structure of Al2ReH.

Lattice parameters (Å, degrees): 4.2158 4.2158 4.2158 60.00 60.00 60.00
With the nearest neighbours (Å) after each atom.
Positions (direct):
Al1 0.2500 0.2500 0.2500  4 H 2.58, 4 Re 2.58
Al2 0.7500 0.7500 0.7500  4 Re 2.58, 4 H 2.58
Re1 0.0000 0.0000 0.0000  8 Al 2.58
H1 0.5000 0.5000 0.5000  8 Al 2.58

Calculated values
The value obtained for the calculated total energy is -20.81 eV/f.u.

=====

No. 11
The following is a DFT calculation (PBE) of a relaxed structure of Tb4DyGe4.

Lattice parameters (Å, degrees): 9.1121 9.1121 5.8634 90.00 90.00 90.00
With the nearest neighbours (Å) after each atom.
Positions (direct):
Tb1 0.0730 0.6595 0.1341  5 Ge 2.92-3.05
Tb2 0.1595 0.9270 0.6341  5 Ge 2.92-3.05
Tb3 0.3405 0.5730 0.6341  5 Ge 2.92-3.05
Tb4 0.4270 0.8405 0.1341  5 Ge 2.92-3.05
Tb5 0.5730 0.1595 0.8659  5 Ge 2.92-3.05
Tb6 0.6595 0.4270 0.3659  5 Ge 2.92-3.05
Tb7 0.8405 0.0730 0.3659  5 Ge 2.92-3.05
Tb8 0.9270 0.3405 0.8659  5 Ge 2.92-3.05
Dy1 0.2500 0.2500 0.2500  4 Ge 2.84
Dy2 0.7500 0.7500 0.7500  4 Ge 2.84
Ge1 0.0234 0.6212 0.6320  1 Ge 2.73, 1 Dy 2.84, 5 Tb 2.92-3.05
Ge2 0.1212 0.9766 0.1320  1 Ge 2.73, 1 Dy 2.84, 5 Tb 2.92-3.05
Ge3 0.3788 0.5234 0.1320  1 Ge 2.73, 1 Dy 2.84, 5 Tb 2.92-3.05
Ge4 0.4766 0.8788 0.6320  1 Ge 2.73, 1 Dy 2.84, 5 Tb 2.92-3.05
Ge5 0.5234 0.1212 0.3680  1 Ge 2.73, 1 Dy 2.84, 5 Tb 2.92-3.05
Ge6 0.6212 0.4766 0.8680  1 Ge 2.73, 1 Dy 2.84, 5 Tb 2.92-3.05
Ge7 0.8788 0.0234 0.8680  1 Ge 2.73, 1 Dy 2.84, 5 Tb 2.92-3.05
Ge8 0.9766 0.3788 0.3680  1 Ge 2.73, 1 Dy 2.84, 5 Tb 2.92-3.05

Calculated values
The value obtained for the calculated formation energy is -586 meV per atom. The value obtained for the calculated total energy is -46.87 eV/f.u.

=====

No. 12
The following is a DFT calculation (PBE) of a relaxed structure of TmSc2Ti.

Lattice parameters (Å, degrees): 10.5583 10.5583 10.5583 17.68 17.68 17.68
With the nearest neighbours (Å) after each atom.
Positions (direct):
Tm1 0.0000 0.0000 0.0000  6 Tm 3.25, 6 Sc 3.37-3.41
Sc1 0.5751 0.5751 0.5751  3 Ti 3.03, 6 Sc 3.25
Sc2 0.7567 0.7567 0.7567  3 Ti 3.00, 6 Sc 3.25
Ti1 0.1653 0.1653 0.1653  6 Sc 3.00-3.03, 6 Ti 3.25

Calculated values
The value obtained for the calculated formation energy is 126 meV per atom. The value obtained for the calculated total energy is -24.53 eV/f.u.

=====

| no. | volume (Å³/atom) |
| --- | --- |
| 1 | 45.98 |
| 2 | 9.65 |
| 3 | 13.04 |
| 4 | 31.61 |
| 5 | 14.05 |
| 6 | 28.28 |
| 7 | 33.26 |
| 8 | 29.20 |
| 9 | 34.25 |
| 10 | 13.25 |
| 11 | 27.05 |
| 12 | 23.70 |